Here is crystalline Li2TlRuO4 at its relaxed geometry from Alexandria via LeMat-Bulk. Energies are from PBE.

The space group is I-42m (No. 121) and the conventional cell measures 5.436, 5.436 and 7.658 Å, with angles of 90.00, 90.00 and 90.00 degrees. The inequivalent atoms are Li at (0.000, 0.500, 0.250), Tl at (0.000, 0.000, 0.000), Ru at (0.000, 0.000, 0.500) and O at (0.188, 0.188, 0.347).

The uncorrected formation energy is -1162 meV/atom. As for the total energy: -5.575 eV/atom. The volume comes out at 14.143 Å³/atom.